This record from the Alexandria database describes a relaxed structure of TaSnNO2. The functional is PBE.

formation energy from raw total energies: -7.21 eV per formula unit
density of states at the Fermi level: 0.044 states/eV per atom

abc: 4.020 4.020 4.175
angles: 90.00 90.00 90.00
Positions (direct):
N 0.000 0.000 0.500
Sn 0.500 0.500 0.500
O 0.000 0.500 0.000
O 0.500 0.000 0.000
Ta 0.000 0.000 0.000